First-principles (PBE) data for a relaxed MnFeNiHg2 crystal, as listed in Alexandria via LeMat-Bulk.

Values from the calculation:
Symmetry   No. 123
V   22.17 Å³ per atom
M_tot   1.52 μB/atom
Energy of formation   1.178 eV/atom
Final energy   -3.63 eV/atom

abc: 5.032 4.377 5.032
angles: 90.00 90.00 90.00
Each line ends with the local moment (μB).
Fractional positions:
Ni (0.000, 0.500, 0.000)  0.81
Mn (0.000, 0.000, 0.000)  3.38
Hg (0.000, 0.000, 0.500)  0.02
Hg (0.500, 0.000, 0.000)  0.00
Fe (0.500, 0.500, 0.500)  3.29



First-principles (PBE) data for a relaxed Mn2FeHgRh crystal, as listed in Alexandria via LeMat-Bulk.

Values from the calculation:
Symmetry   No. 123
V   23.78 Å³ per atom
M_tot   2.39 μB/atom
Energy of formation   1.685 eV/atom
Final energy   -5.21 eV/atom

abc: 4.879 4.995 4.879
angles: 90.00 90.00 90.00
Each line ends with the local moment (μB).
Fractional positions:
Mn (0.000, 0.000, 0.500)  4.14
Mn (0.500, 0.000, 0.000)  3.86
Rh (0.000, 0.500, 0.000)  0.31
Hg (0.000, 0.000, 0.000)  0.01
Fe (0.500, 0.500, 0.500)  3.29



First-principles (PBE) data for a relaxed ScMn2FeHg crystal, as listed in Alexandria via LeMat-Bulk.

Values from the calculation:
Symmetry   No. 123
V   23.67 Å³ per atom
M_tot   2.12 μB/atom
Energy of formation   1.123 eV/atom
Final energy   -5.56 eV/atom

abc: 4.934 4.861 4.934
angles: 90.00 90.00 90.00
Each line ends with the local moment (μB).
Fractional positions:
Sc (0.500, 0.500, 0.500)  -0.44
Mn (0.000, 0.000, 0.500)  4.09
Mn (0.500, 0.000, 0.000)  3.81
Hg (0.000, 0.000, 0.000)  0.01
Fe (0.000, 0.500, 0.000)  2.99



First-principles (PBE) data for a relaxed MnTlFeHg2 crystal, as listed in Alexandria via LeMat-Bulk.

Values from the calculation:
Symmetry   No. 123
V   26.89 Å³ per atom
M_tot   1.31 μB/atom
Energy of formation   0.989 eV/atom
Final energy   -3.13 eV/atom

abc: 5.118 5.133 5.118
angles: 90.00 90.00 90.00
Each line ends with the local moment (μB).
Fractional positions:
Tl (0.000, 0.500, 0.000)  -0.06
Mn (0.000, 0.000, 0.000)  3.07
Hg (0.000, 0.000, 0.500)  0.01
Hg (0.500, 0.000, 0.000)  -0.01
Fe (0.500, 0.500, 0.500)  3.35



First-principles (PBE) data for a relaxed ZrMnFeHg2 crystal, as listed in Alexandria via LeMat-Bulk.

Values from the calculation:
Symmetry   No. 123
V   26.42 Å³ per atom
M_tot   0.07 μB/atom
Energy of formation   1.882 eV/atom
Final energy   -3.47 eV/atom

abc: 5.455 4.438 5.455
angles: 90.00 90.00 90.00
Each line ends with the local moment (μB).
Fractional positions:
Mn (0.000, 0.500, 0.000)  -0.32
Hg (0.000, 0.000, 0.500)  0.00
Hg (0.500, 0.000, 0.000)  -0.01
Zr (0.000, 0.000, 0.000)  -0.01
Fe (0.500, 0.500, 0.500)  0.11



First-principles (PBE) data for a relaxed FeHg2Mo crystal, as listed in Alexandria via LeMat-Bulk.

Values from the calculation:
Symmetry   No. 44
V   18.01 Å³ per atom
M_tot   0.64 μB/atom
Polymorph energy (0 for the lowest one)   0.214 eV/atom
Energy of formation   0.579 eV/atom
Final energy   -4.40 eV/atom

abc: 5.746 5.746 5.746
angles: 150.36 129.32 59.82
Each line ends with the local moment (μB).
Fractional positions:
Fe (0.728, 0.228, 0.500)  2.45
Hg (0.980, 0.980, 0.000)  0.01
Hg (0.261, 0.761, 0.500)  -0.01
Mo (0.532, 0.532, 0.000)  0.04



First-principles (PBE) data for a relaxed FeHgMo2 crystal, as listed in Alexandria via LeMat-Bulk.

Values from the calculation:
Symmetry   No. 12
V   16.04 Å³ per atom
M_tot   0.66 μB/atom
Energy of formation   0.522 eV/atom
Final energy   -7.08 eV/atom

abc: 6.071 5.124 2.717
angles: 89.89 63.62 118.33
Each line ends with the local moment (μB).
Fractional positions:
Fe (0.000, 0.500, 0.500)  2.63
Hg (0.500, 0.500, 0.000)  0.00
Mo (0.000, 0.000, 0.000)  0.01
Mo (0.500, 0.000, 0.500)  0.01



First-principles (PBE) data for a relaxed FeHgMo2 crystal, as listed in Alexandria via LeMat-Bulk.

Values from the calculation:
Symmetry   No. 123
V   15.55 Å³ per atom
M_tot   0.00 μB/atom
Energy of formation   0.363 eV/atom
Final energy   -7.24 eV/atom

abc: 2.790 2.790 7.990
angles: 90.00 90.00 90.06
Fractional positions:
Fe (0.500, 0.500, 0.250)
Hg (0.500, 0.500, 0.750)
Mo (0.000, 0.000, 0.040)
Mo (0.000, 0.000, 0.460)